# Pm2Sc6In

A geometry-optimized Pm2Sc6In structure (PBE, Alexandria).

Calculated values
As for the formation energy from the elements: 0.00 eV/atom.

Lattice parameters (Å, degrees): 3.2979 9.6402 9.0721 122.09 100.46 90.00
Sites, in units of the cell vectors:
Sc (0.8220, 0.9844, 0.6434)
Sc (0.1780, 0.0156, 0.3566)
Sc (0.5000, 0.7177, 0.0000)
Sc (0.5000, 0.2823, 0.0000)
Sc (0.8220, 0.6590, 0.6434)
Sc (0.1780, 0.3410, 0.3566)
Pm (0.8523, 0.3529, 0.7058)
Pm (0.1477, 0.6471, 0.2942)
In (0.0000, 0.0000, 0.0000)

# LiCaSnIr

A geometry-optimized LiCaSnIr structure (PBE, Alexandria).

Calculated values
As for the formation energy from the elements: -0.41 eV/atom.

Lattice parameters (Å, degrees): 4.7530 4.7530 4.7530 60.00 60.00 60.00
Sites, in units of the cell vectors:
Ir (0.5000, 0.5000, 0.5000)
Ca (0.7500, 0.7500, 0.7500)
Li (0.0000, 0.0000, 0.0000)
Sn (0.2500, 0.2500, 0.2500)

# AlW2Se

A geometry-optimized AlW2Se structure (PBE, Alexandria).

Calculated values
The value obtained for the energy above the most stable polymorph in this dataset is 0.417 eV per atom. The raw formation energy is 0.539 eV per atom.

Lattice parameters (Å, degrees): 2.8322 2.8322 8.6941 90.00 90.00 110.90
Sites, in units of the cell vectors:
W (0.0000, 0.0000, 0.0025)
W (0.0000, 0.0000, 0.4975)
Al (0.5000, 0.5000, 0.2500)
Se (0.5000, 0.5000, 0.7500)

# NbNi2Pd2

A geometry-optimized NbNi2Pd2 structure (PBE, Alexandria).

Calculated values
The value obtained for the energy above the most stable polymorph in this dataset is 0.061 eV per atom. As for the formation energy from the elements: 0.01 eV/atom.

Lattice parameters (Å, degrees): 7.1791 7.1791 2.7922 90.00 90.00 90.00
Sites, in units of the cell vectors:
Pd (0.8649, 0.6351, 0.0000)
Pd (0.6351, 0.1351, 0.0000)
Pd (0.1351, 0.3649, 0.0000)
Pd (0.3649, 0.8649, 0.0000)
Nb (0.5000, 0.5000, 0.0000)
Nb (0.0000, 0.0000, 0.0000)
Ni (0.1619, 0.6619, 0.5000)
Ni (0.8381, 0.3381, 0.5000)
Ni (0.3381, 0.1619, 0.5000)
Ni (0.6619, 0.8381, 0.5000)

# ZrAgBi2

A geometry-optimized ZrAgBi2 structure (PBE, Alexandria).

Calculated values
As for the formation energy from the elements: -0.08 eV/atom.

Lattice parameters (Å, degrees): 3.8923 3.8923 6.5755 90.00 90.00 90.00
Sites, in units of the cell vectors:
Bi (0.0000, 0.0000, 0.7447)
Bi (0.0000, 0.0000, 0.2553)
Ag (0.5000, 0.5000, 0.0000)
Zr (0.5000, 0.5000, 0.5000)

# Tm4TlBi3O12

A geometry-optimized Tm4TlBi3O12 structure (PBE, Alexandria).

Calculated values
The raw formation energy is -2.204 eV per atom.

Lattice parameters (Å, degrees): 7.3375 7.3375 7.3375 109.47 109.47 109.47
Last column: magnetic moment on the atom in μB.
Sites, in units of the cell vectors:
Tm (0.0000, 0.0000, 0.5000)  0.00
Tm (0.5000, 0.0000, 0.0000)  0.00
Tm (0.0000, 0.5000, 0.0000)  0.00
Tm (0.5000, 0.5000, 0.5000)  0.00
Bi (0.5000, 0.5000, 0.0000)  0.04
Bi (0.5000, 0.0000, 0.5000)  0.04
Bi (0.0000, 0.5000, 0.5000)  0.04
O (0.6866, 0.8060, 0.4926)  0.09
O (0.5074, 0.3134, 0.1940)  0.09
O (0.8806, 0.6866, 0.1940)  0.09
O (0.6866, 0.1940, 0.8806)  0.09
O (0.3134, 0.8060, 0.1194)  0.09
O (0.1194, 0.3134, 0.8060)  0.09
O (0.3134, 0.1940, 0.5074)  0.09
O (0.8060, 0.4926, 0.6866)  0.09
O (0.1940, 0.5074, 0.3134)  0.09
O (0.1940, 0.8806, 0.6866)  0.09
O (0.8060, 0.1194, 0.3134)  0.09
O (0.4926, 0.6866, 0.8060)  0.09
Tl (0.0000, 0.0000, 0.0000)  0.01

# Li2Zr2NpS6

A geometry-optimized Li2Zr2NpS6 structure (PBE, Alexandria).

Calculated values
The raw formation energy is -1.467 eV per atom.

Lattice parameters (Å, degrees): 6.5150 6.5150 6.5746 99.48 99.48 120.37
Last column: magnetic moment on the atom in μB.
Sites, in units of the cell vectors:
S (0.4266, 0.0774, 0.7444)  -0.03
S (0.0774, 0.4266, 0.7444)  -0.03
S (0.7386, 0.7386, 0.7468)  -0.03
S (0.2614, 0.2614, 0.2532)  -0.03
S (0.5734, 0.9226, 0.2556)  -0.03
S (0.9226, 0.5734, 0.2556)  -0.03
Zr (0.3349, 0.6651, 0.5000)  0.30
Zr (0.6651, 0.3349, 0.5000)  0.30
Np (0.0000, 0.0000, 0.5000)  3.69
Li (0.1678, 0.8322, 0.0000)  0.00
Li (0.8322, 0.1678, 0.0000)  0.00

# Sr2ZnF6

A geometry-optimized Sr2ZnF6 structure (PBE, Alexandria).

Calculated values
The raw formation energy is -3.370 eV per atom.

Lattice parameters (Å, degrees): 5.5915 5.8328 8.6279 90.00 108.91 90.00
Sites, in units of the cell vectors:
F (0.1121, 0.1127, 0.2241)
F (0.4931, 0.7500, 0.4863)
F (0.7040, 0.2500, 0.9080)
F (0.2040, 0.2500, 0.9080)
F (0.2960, 0.7500, 0.0920)
F (0.9931, 0.7500, 0.4863)
F (0.6121, 0.3873, 0.2241)
F (0.0069, 0.2500, 0.5137)
F (0.5069, 0.2500, 0.5137)
F (0.8879, 0.8873, 0.7759)
F (0.7960, 0.7500, 0.0920)
F (0.3879, 0.6127, 0.7759)
Sr (0.8402, 0.4959, 0.6805)
Sr (0.3402, 0.0041, 0.6805)
Sr (0.1598, 0.5041, 0.3195)
Sr (0.6598, 0.9959, 0.3195)
Zn (0.0000, 0.0000, 0.0000)
Zn (0.5000, 0.5000, 0.0000)

# ScTcIr2C

A geometry-optimized ScTcIr2C structure (PBE, Alexandria).

Calculated values
As for the formation energy from the elements: 2.18 eV/atom.

Lattice parameters (Å, degrees): 4.6414 4.9812 4.6414 90.00 90.00 90.00
Last column: magnetic moment on the atom in μB.
Sites, in units of the cell vectors:
Ir (0.5000, 0.0000, 0.0000)  0.12
Ir (0.0000, 0.0000, 0.5000)  0.02
Tc (0.0000, 0.0000, 0.0000)  0.02
C (0.5000, 0.5000, 0.5000)  0.47
Sc (0.0000, 0.5000, 0.0000)  0.00

# ZnCd2Ru

A geometry-optimized ZnCd2Ru structure (PBE, Alexandria).

Calculated values
As for the formation energy from the elements: 0.28 eV/atom.

Lattice parameters (Å, degrees): 2.9334 2.9334 8.3445 90.00 90.00 90.00
Last column: magnetic moment on the atom in μB.
Sites, in units of the cell vectors:
Cd (0.0000, 0.0000, 0.4906)  0.00
Cd (0.0000, 0.0000, 0.0094)  0.00
Zn (0.5000, 0.5000, 0.7500)  0.00
Ru (0.5000, 0.5000, 0.2500)  1.32

# ScZn2Pd2

A geometry-optimized ScZn2Pd2 structure (PBE, Alexandria).

Calculated values
The value obtained for the energy above the most stable polymorph in this dataset is 0.000 eV per atom. As for the formation energy from the elements: -0.63 eV/atom.

Lattice parameters (Å, degrees): 4.4846 4.4846 4.9616 108.30 108.30 61.14
Sites, in units of the cell vectors:
Pd (0.8818, 0.3818, 0.2030)
Pd (0.1182, 0.6182, 0.7970)
Zn (0.7453, 0.2453, 0.6354)
Zn (0.2547, 0.7547, 0.3646)
Sc (0.5000, 0.0000, 0.0000)

# TlCoSnCl6

A geometry-optimized TlCoSnCl6 structure (PBE, Alexandria).

Calculated values
The raw formation energy is -0.776 eV per atom.

Lattice parameters (Å, degrees): 6.8756 6.8756 6.5968 90.02 89.98 59.93
Sites, in units of the cell vectors:
Cl (0.0624, 0.3383, 0.2969)
Cl (0.5992, 0.3385, 0.7031)
Cl (0.3383, 0.0624, 0.7031)
Cl (0.3385, 0.5992, 0.2969)
Cl (0.6000, 0.0616, 0.2974)
Cl (0.0616, 0.6001, 0.7026)
Sn (0.6665, 0.6666, 0.5000)
Co (0.3333, 0.3334, 0.5000)
Tl (0.0000, 0.0000, 0.0000)

Number 1: magnetization 0.0 Bohr magnetons per cell. Number 2: magnetization 0.0 Bohr magnetons per cell. Number 3: magnetization 0.0 Bohr magnetons per cell. Number 4: magnetization 0.0 Bohr magnetons per cell. Number 5: magnetization 0.0 Bohr magnetons per cell. Number 6: magnetization 1.5 Bohr magnetons per cell. Number 7: magnetization 4.7 Bohr magnetons per cell. Number 8: magnetization 0.0 Bohr magnetons per cell. Number 9: magnetization 1.1 Bohr magnetons per cell. Number 10: magnetization 1.4 Bohr magnetons per cell. Number 11: magnetization 0.0 Bohr magnetons per cell. Number 12: magnetization 0.0 Bohr magnetons per cell.